(P)
{"formula": "MnCrOs", "functional": "PBE", "state": "relaxed", "lattice": [[-0.421, 3.921, -0.586], [-2.464, 1.338, -2.834], [-3.404, 1.812, 1.011]], "species": ["Cr", "Mn", "Os"], "frac_coords": [[0.750, 0.750, 0.750], [0.000, 0.000, 0.000], [0.500, 0.500, 0.500]]}

(Q)
{"formula": "MnCrOs", "functional": "PBE", "state": "relaxed", "lattice": [[3.847, 0.000, 0.000], [0.000, 4.445, 0.000], [0.000, 0.000, 5.091]], "species": ["Os", "Os", "Mn", "Mn", "Cr", "Cr"], "frac_coords": [[0.000, 0.488, 0.250], [0.000, 0.512, 0.750], [0.000, 0.000, 0.000], [0.000, 0.000, 0.500], [0.500, 0.848, 0.250], [0.500, 0.152, 0.750]]}

Stability, lowest: (Q)

(P)
{"formula": "MnCr4Os", "functional": "PBE", "state": "relaxed", "lattice": [[-0.572, 2.440, -3.305], [-2.846, -0.995, -2.848], [-3.392, 2.578, 2.490]], "species": ["Mn", "Cr", "Cr", "Cr", "Cr", "Os"], "frac_coords": [[0.253, 0.749, 0.502], [0.919, 0.415, 0.745], [0.919, 0.415, 0.259], [0.586, 0.082, 0.259], [0.586, 0.082, 0.745], [0.253, 0.749, 0.002]]}

(Q)
{"formula": "MnCr4Os", "functional": "PBE", "state": "relaxed", "lattice": [[3.186, 1.382, 3.172], [-0.521, -1.177, 4.523], [2.890, -3.152, 1.958]], "species": ["Mn", "Cr", "Cr", "Cr", "Cr", "Os"], "frac_coords": [[0.250, 0.250, 0.250], [0.624, 0.624, 0.129], [0.624, 0.129, 0.624], [0.624, 0.624, 0.624], [0.129, 0.624, 0.624], [0.000, 0.000, 0.000]]}

Stability, lowest: (P)

(P)
{"formula": "MnCrSiOs", "functional": "PBE", "state": "relaxed", "lattice": [[4.152, 0.000, 0.000], [2.076, 3.596, 0.000], [2.076, 1.199, 3.390]], "species": ["Mn", "Cr", "Si", "Os"], "frac_coords": [[0.250, 0.250, 0.250], [0.000, 0.000, 0.000], [0.750, 0.750, 0.750], [0.500, 0.500, 0.500]]}

(Q)
{"formula": "MnCrSiOs", "functional": "PBE", "state": "relaxed", "lattice": [[-3.079, 2.403, -1.268], [-3.889, -1.068, 0.770], [-2.209, 2.122, 2.735]], "species": ["Cr", "Si", "Mn", "Os"], "frac_coords": [[0.500, 0.500, 0.500], [0.000, 0.000, 0.000], [0.250, 0.250, 0.250], [0.750, 0.750, 0.750]]}

Stability, lowest: (Q)

(P)
{"formula": "MnCrP3", "functional": "PBE", "state": "relaxed", "lattice": [[4.366, 0.000, 0.000], [0.000, 4.366, 0.000], [0.000, 0.000, 4.366]], "species": ["Cr", "Mn", "P", "P", "P"], "frac_coords": [[0.500, 0.500, 0.500], [0.000, 0.000, 0.000], [0.000, 0.500, 0.000], [0.000, 0.000, 0.500], [0.500, 0.000, 0.000]]}

(Q)
{"formula": "MnCrP3", "functional": "PBE", "state": "relaxed", "lattice": [[4.458, 0.000, 0.000], [0.000, 4.458, 0.000], [0.000, 0.000, 4.458]], "species": ["Cr", "Mn", "P", "P", "P"], "frac_coords": [[0.000, 0.000, 0.000], [0.500, 0.500, 0.500], [0.000, 0.500, 0.000], [0.000, 0.000, 0.500], [0.500, 0.000, 0.000]]}

Stability, lowest: (P)